1.
The following is a DFT calculation (PBE-GGA) of a relaxed Tb7Pr2Sm4 crystal.

Unit cell a=6.4551 b=6.4960 c=11.8154 alpha=88.92 beta=78.49 gamma=65.21
Closest atoms and distances in Å follow each position.
Space group P-1 (No. 2)
Unique sites:
Tb1 0.0000 0.0000 0.0000 (multiplicity 1)  2 Pr 3.42, 2 Tb 3.73
Tb2 0.0511 0.4918 0.8176 (multiplicity 2)  2 Pr 3.24-3.28, 2 Sm 3.41-3.49, 2 Tb 3.53-3.56
Tb3 0.3436 0.6276 0.3065 (multiplicity 2)  4 Tb 3.37-3.64, 4 Sm 3.46-3.71, 1 Pr 3.54
Tb4 0.4988 0.9275 0.7575 (multiplicity 2)  5 Tb 3.37-3.73, 3 Sm 3.41-3.66, 2 Pr 3.41-3.42
Pr1 0.4289 0.2928 0.9811 (multiplicity 2)  6 Tb 3.24-3.54, 2 Pr 3.25-3.56
Sm1 0.1261 0.8478 0.6147 (multiplicity 2)  5 Tb 3.41-3.80, 5 Sm 3.43-3.72
Sm2 0.2722 0.2854 0.5276 (multiplicity 2)  6 Sm 3.43-3.72, 5 Tb 3.45-3.67

2.
The following is a DFT calculation (PBE-GGA) of a relaxed Tb2Pr5Sm3 crystal.

Unit cell a=9.5485 b=13.8547 c=11.1676 alpha=90.00 beta=90.00 gamma=90.00
Closest atoms and distances in Å follow each position.
Space group Ibam (No. 72)
Unique sites:
Tb1 0.0862 0.1216 0.0000 (multiplicity 8)  1 Pr 2.96, 1 Sm 3.22
Pr1 0.0000 0.2476 0.2500 (multiplicity 8)  2 Tb 3.39, 3 Pr 3.43-3.50, 1 Sm 3.43
Pr2 0.0000 0.5000 0.2500 (multiplicity 4)  6 Pr 3.45-3.50
Pr3 0.1035 0.3724 0.5000 (multiplicity 8)  1 Tb 2.96
Sm1 0.0000 0.0000 0.2500 (multiplicity 4)  4 Tb 3.36, 2 Pr 3.43
Sm2 0.2487 0.3760 0.0000 (multiplicity 8)  1 Tb 3.22, 1 Pr 3.36

3.
The following is a DFT calculation (PBE-GGA) of a relaxed TbPr8Sm5 crystal.

Unit cell a=9.8429 b=9.8429 c=10.3715 alpha=90.00 beta=90.00 gamma=90.00
Closest atoms and distances in Å follow each position.
Space group I-4 (No. 82)
Unique sites:
Tb1 0.0000 0.0000 0.0000 (multiplicity 2)  4 Pr 3.23
Pr1 0.0691 0.8271 0.3463 (multiplicity 8)  5 Sm 3.44-3.67, 4 Pr 3.67-3.83
Pr2 0.0842 0.6830 0.0040 (multiplicity 8)  1 Tb 3.23, 4 Sm 3.23-3.61
Sm1 0.0000 0.5000 0.2500 (multiplicity 2)  8 Pr 3.23-3.44
Sm2 0.1064 0.7064 0.6755 (multiplicity 8)  8 Pr 3.42-3.69, 2 Sm 3.58

Number 1: energy of formation from the pure elements 142.5 meV/atom. Number 2: energy of formation from the pure elements 350.1 meV/atom. Number 3: energy of formation from the pure elements 236.7 meV/atom.